(1)
Entry from the Alexandria database: RePb2 after structural relaxation (PBE).

Structure (CIF):
```
data_RePb2
_chemical_formula_sum 'Re4 Pb8'
_space_group_name_H-M_alt 'P a -3'
_space_group_IT_number 205
_space_group_name_Hall '-P 2ac 2ab 3'
_cell_length_a 6.8549
_cell_length_b 6.8549
_cell_length_c 6.8549
_cell_angle_alpha 90.00
_cell_angle_beta 90.00
_cell_angle_gamma 90.00
loop_
_atom_site_label
_atom_site_type_symbol
_atom_site_fract_x
_atom_site_fract_y
_atom_site_fract_z
Re1 Re 0.0000 0.0000 0.0000
Pb1 Pb 0.1837 0.6837 0.8163
```

(2)
Entry from the Alexandria database: Sb2PAu2 after structural relaxation (PBE).

Values from the calculation:
Formation energy (no corrections) = 307 meV per atom

Structure (CIF):
```
data_Sb2PAu2
_chemical_formula_sum 'Sb4 P2 Au4'
_space_group_name_H-M_alt 'P 4/m b m'
_space_group_IT_number 127
_space_group_name_Hall '-P 4 2ab'
_cell_length_a 7.3355
_cell_length_b 7.3355
_cell_length_c 4.0920
_cell_angle_alpha 90.00
_cell_angle_beta 90.00
_cell_angle_gamma 90.00
loop_
_atom_site_label
_atom_site_type_symbol
_atom_site_fract_x
_atom_site_fract_y
_atom_site_fract_z
Sb1 Sb 0.1723 0.3277 0.0000
P1 P 0.0000 0.0000 0.5000
Au1 Au 0.1377 0.6377 0.5000
```

(3)
Entry from the Alexandria database: Dy2SbPd6 after structural relaxation (PBE).

Values from the calculation:
Formation energy (no corrections) = -753 meV per atom

Structure (CIF):
```
data_Dy2SbPd6
_chemical_formula_sum 'Dy2 Sb1 Pd6'
_space_group_name_H-M_alt 'P -3 m 1'
_space_group_IT_number 164
_space_group_name_Hall '-P 3 2"'
_cell_length_a 5.7807
_cell_length_b 5.7807
_cell_length_c 5.9551
_cell_angle_alpha 90.00
_cell_angle_beta 90.00
_cell_angle_gamma 120.00
loop_
_atom_site_label
_atom_site_type_symbol
_atom_site_fract_x
_atom_site_fract_y
_atom_site_fract_z
Dy1 Dy 0.3333 0.6667 0.1803
Sb1 Sb 0.0000 0.0000 0.0000
Pd1 Pd 0.1768 0.3536 0.6812
```

(4)
Entry from the Alexandria database: V3As after structural relaxation (PBE).

Structure (CIF):
```
data_V3As
_chemical_formula_sum 'V12 As4'
_space_group_name_H-M_alt 'F m -3 m'
_space_group_IT_number 225
_space_group_name_Hall '-F 4 2 3'
_cell_length_a 5.9763
_cell_length_b 5.9763
_cell_length_c 5.9763
_cell_angle_alpha 90.00
_cell_angle_beta 90.00
_cell_angle_gamma 90.00
loop_
_atom_site_label
_atom_site_type_symbol
_atom_site_fract_x
_atom_site_fract_y
_atom_site_fract_z
V1 V 0.0000 0.0000 0.0000
V2 V 0.2500 0.2500 0.2500
As1 As 0.0000 0.0000 0.5000
```

(5)
Entry from the Alexandria database: LaPuCuO6 after structural relaxation (PBE).

Values from the calculation:
Formation energy (no corrections) = -2221 meV per atom

Structure (CIF):
```
data_LaPuCuO6
_chemical_formula_sum 'La2 Pu2 Cu2 O12'
_space_group_name_H-M_alt 'P -3 1 c'
_space_group_IT_number 163
_space_group_name_Hall '-P 3 2c'
_cell_length_a 5.3141
_cell_length_b 5.3141
_cell_length_c 10.6710
_cell_angle_alpha 90.00
_cell_angle_beta 90.00
_cell_angle_gamma 120.00
loop_
_atom_site_label
_atom_site_type_symbol
_atom_site_fract_x
_atom_site_fract_y
_atom_site_fract_z
La1 La 0.0000 0.0000 0.0000
Pu1 Pu 0.3333 0.6667 0.2500
Cu1 Cu 0.3333 0.6667 0.7500
O1 O 0.0106 0.3630 0.1425
```

(6)
Entry from the Alexandria database: Nd3Ho6Th after structural relaxation (PBE).

Structure (CIF):
```
data_Nd3Ho6Th
_chemical_formula_sum 'Nd6 Ho12 Th2'
_space_group_name_H-M_alt 'C 1 2/m 1'
_space_group_IT_number 12
_cell_length_a 11.4715
_cell_length_b 6.5978
_cell_length_c 9.5819
_cell_angle_alpha 90.00
_cell_angle_beta 114.13
_cell_angle_gamma 90.00
loop_
_space_group_symop_operation_xyz
'x,y,z'
'-x,-y,-z'
'-x,y,-z'
'x,-y,z'
'x+1/2,y+1/2,z'
'-x+1/2,-y+1/2,-z'
'-x+1/2,y+1/2,-z'
'x+1/2,-y+1/2,z'
loop_
_atom_site_label
_atom_site_type_symbol
_atom_site_fract_x
_atom_site_fract_y
_atom_site_fract_z
Nd1 Nd 0.0000 0.0000 0.0000
Nd2 Nd 0.0691 0.0000 0.6901
Ho1 Ho 0.1354 0.5000 0.9182
Ho2 Ho 0.1855 0.2517 0.3139
Th1 Th 0.0000 0.5000 0.5000
```

(7)
Entry from the Alexandria database: LiHo2Ir2 after structural relaxation (PBE).

Structure (CIF):
```
data_LiHo2Ir2
_chemical_formula_sum 'Li2 Ho4 Ir4'
_space_group_name_H-M_alt 'I m m m'
_space_group_IT_number 71
_space_group_name_Hall '-I 2 2'
_cell_length_a 4.1771
_cell_length_b 5.8587
_cell_length_c 8.0890
_cell_angle_alpha 90.00
_cell_angle_beta 90.00
_cell_angle_gamma 90.00
loop_
_atom_site_label
_atom_site_type_symbol
_atom_site_fract_x
_atom_site_fract_y
_atom_site_fract_z
Li1 Li 0.0000 0.0000 0.0000
Ho1 Ho 0.0000 0.5000 0.2065
Ir1 Ir 0.0000 0.2271 0.5000
```

(8)
Entry from the Alexandria database: FeP2SN after structural relaxation (PBE).

Values from the calculation:
Formation energy (no corrections) = 1042 meV per atom

Structure (CIF):
```
data_FeP2SN
_chemical_formula_sum 'Fe1 P2 S1 N1'
_space_group_name_H-M_alt 'P 4/m m m'
_space_group_IT_number 123
_space_group_name_Hall '-P 4 2'
_cell_length_a 3.9508
_cell_length_b 3.9508
_cell_length_c 4.1880
_cell_angle_alpha 90.00
_cell_angle_beta 90.00
_cell_angle_gamma 90.00
loop_
_atom_site_label
_atom_site_type_symbol
_atom_site_fract_x
_atom_site_fract_y
_atom_site_fract_z
Fe1 Fe 0.0000 0.0000 0.0000
P1 P 0.0000 0.5000 0.5000
S1 S 0.5000 0.5000 0.0000
N1 N 0.5000 0.5000 0.5000
```

(9)
Entry from the Alexandria database: Na4Cd2Pt after structural relaxation (PBE).

Structure (CIF):
```
data_Na4Cd2Pt
_chemical_formula_sum 'Na8 Cd4 Pt2'
_space_group_name_H-M_alt 'P 42/m n m'
_space_group_IT_number 136
_space_group_name_Hall '-P 4n 2n'
_cell_length_a 10.7659
_cell_length_b 10.7659
_cell_length_c 3.0883
_cell_angle_alpha 90.00
_cell_angle_beta 90.00
_cell_angle_gamma 90.00
loop_
_atom_site_label
_atom_site_type_symbol
_atom_site_fract_x
_atom_site_fract_y
_atom_site_fract_z
Na1 Na 0.0846 0.2853 0.0000
Cd1 Cd 0.1540 0.8460 0.0000
Pt1 Pt 0.0000 0.0000 0.5000
```

(10)
Entry from the Alexandria database: LaMg2Cu2Si after structural relaxation (PBE).

Values from the calculation:
Formation energy (no corrections) = -82 meV per atom

Structure (CIF):
```
data_LaMg2Cu2Si
_chemical_formula_sum 'La2 Mg4 Cu4 Si2'
_space_group_name_H-M_alt 'I 4/m m m'
_space_group_IT_number 139
_space_group_name_Hall '-I 4 2'
_cell_length_a 4.7284
_cell_length_b 4.7284
_cell_length_c 11.7209
_cell_angle_alpha 90.00
_cell_angle_beta 90.00
_cell_angle_gamma 90.00
loop_
_atom_site_label
_atom_site_type_symbol
_atom_site_fract_x
_atom_site_fract_y
_atom_site_fract_z
La1 La 0.0000 0.0000 0.0000
Mg1 Mg 0.0000 0.5000 0.2500
Cu1 Cu 0.0000 0.0000 0.3140
Si1 Si 0.0000 0.0000 0.5000
```

(11)
Entry from the Alexandria database: GaBi3N after structural relaxation (PBE).

Values from the calculation:
Formation energy (no corrections) = 528 meV per atom

Structure (CIF):
```
data_GaBi3N
_chemical_formula_sum 'Ga1 Bi3 N1'
_space_group_name_H-M_alt 'P m -3 m'
_space_group_IT_number 221
_space_group_name_Hall '-P 4 2 3'
_cell_length_a 4.9856
_cell_length_b 4.9856
_cell_length_c 4.9856
_cell_angle_alpha 90.00
_cell_angle_beta 90.00
_cell_angle_gamma 90.00
loop_
_atom_site_label
_atom_site_type_symbol
_atom_site_fract_x
_atom_site_fract_y
_atom_site_fract_z
Ga1 Ga 0.0000 0.0000 0.0000
Bi1 Bi 0.0000 0.5000 0.5000
N1 N 0.5000 0.5000 0.5000
```

(12)
Entry from the Alexandria database: Sc2NiAgC after structural relaxation (PBE).

Structure (CIF):
```
data_Sc2NiAgC
_chemical_formula_sum 'Sc2 Ni1 Ag1 C1'
_space_group_name_H-M_alt 'P 4/m m m'
_space_group_IT_number 123
_space_group_name_Hall '-P 4 2'
_cell_length_a 4.5920
_cell_length_b 4.5920
_cell_length_c 3.7238
_cell_angle_alpha 90.00
_cell_angle_beta 90.00
_cell_angle_gamma 90.00
loop_
_atom_site_label
_atom_site_type_symbol
_atom_site_fract_x
_atom_site_fract_y
_atom_site_fract_z
Sc1 Sc 0.0000 0.5000 0.0000
Ni1 Ni 0.0000 0.0000 0.5000
Ag1 Ag 0.5000 0.5000 0.5000
C1 C 0.0000 0.0000 0.0000
```

no.,raw total energy (eV for the cell shown),magnetization (μB/atom)
1,-66.44,0.38
2,-37.35,0.00
3,-51.26,0.00
4,-130.54,0.00
5,-146.19,0.22
6,-93.85,0.00
7,-64.58,0.00
8,-26.53,0.49
9,-27.08,0.00
10,-44.45,0.00
11,-20.36,0.00
12,-32.42,0.00